Entry 1:
{"formula": "HgRhO2", "functional": "PBE", "state": "relaxed", "spacegroup": "No. 156", "energy_ev_per_cell": -18.00, "volume_a3_per_fu": 61, "lattice": [[2.9597, 0.0000, 0.0000], [-1.4799, 2.5632, 0.0000], [0.0000, 0.0000, 8.0365]], "species": ["Hg", "Rh", "O", "O"], "fractional_positions": [[0.0000, 0.0000, 0.0000], [0.3333, 0.6667, 0.5192], [0.3333, 0.6667, 0.7435], [0.6667, 0.3333, 0.3754]]}


Entry 2:
{"formula": "AlPtRh2", "functional": "PBE", "state": "relaxed", "spacegroup": "No. 160", "e_form_ev_per_atom": -0.36, "volume_a3_per_fu": 59, "lattice": [[4.2973, 0.0000, 0.0000], [-2.1487, 3.7216, 0.0000], [0.0000, 0.0000, 11.0974]], "species": ["Al", "Al", "Al", "Pt", "Pt", "Pt", "Rh", "Rh", "Rh", "Rh", "Rh", "Rh"], "fractional_positions": [[0.0000, 0.0000, 0.0000], [0.3333, 0.6667, 0.6667], [0.6667, 0.3333, 0.3333], [0.0000, 0.0000, 0.7401], [0.3333, 0.6667, 0.4068], [0.6667, 0.3333, 0.0734], [0.0000, 0.0000, 0.2652], [0.0000, 0.0000, 0.5018], [0.3333, 0.6667, 0.1685], [0.3333, 0.6667, 0.9318], [0.6667, 0.3333, 0.5985], [0.6667, 0.3333, 0.8352]]}